## BaNi2BrF (PBE+U)

Data for a relaxed BaNi2BrF crystal.

D(E_F) ... 0.19 states/eV/cell
SG ... P4/mmm, No. 123
Raw total energy ... -2.48 eV/atom

POSCAR file:
```
BaNi2BrF
1.0
4.2848 0.0000 0.0000
0.0000 4.2848 0.0000
0.0000 0.0000 6.0192
Ba Ni Br F
1 2 1 1
Direct
0.0000 0.0000 0.0000 Ba
0.0000 0.5000 0.5000 Ni
0.5000 0.0000 0.5000 Ni
0.5000 0.5000 0.5000 Br
0.5000 0.5000 0.0000 F
```